Entry 1:
The following is a DFT calculation (GGA-PBE) of a relaxed Ce2Ho6Er3Sc crystal.

```
data_Ce2Ho6Er3Sc
_symmetry_space_group_name_H-M 'P 1'
_symmetry_Int_Tables_number 1
_cell_length_a 6.048
_cell_length_b 6.048
_cell_length_c 11.589
_cell_angle_alpha 94.99
_cell_angle_beta 94.99
_cell_angle_gamma 120.00
loop_
_symmetry_equiv_pos_as_xyz
'x,y,z'
loop_
_atom_site_label
_atom_site_fract_x
_atom_site_fract_y
_atom_site_fract_z
Ce1 0.334 0.666 0.000
Ce2 0.666 0.334 0.000
Ho1 0.917 0.585 0.752
Ho2 0.750 0.750 0.248
Ho3 0.083 0.415 0.248
Ho4 0.585 0.917 0.752
Ho5 0.250 0.250 0.752
Ho6 0.415 0.083 0.248
Er1 0.166 0.834 0.500
Er2 0.834 0.166 0.500
Er3 0.500 0.500 0.500
Sc1 0.000 0.000 0.000
```

Calculated values
The value obtained for the electronic total energy is -4.89 eV/atom. The calculated formation energy comes out at 60 kJ/mol of formula units. The calculation puts the density of states at the Fermi level at 1.819 states/eV per atom. The magnetic moment comes out at 1.77 μB/cell. The volume comes out at 30.1 Å³ per atom. The density comes out at 8.3 g/cm3.

Entry 2:
The following is a DFT calculation (GGA-PBE) of a relaxed Y3Sn2Pd6 crystal.

```
data_Y3Sn2Pd6
_symmetry_space_group_name_H-M 'P 1'
_symmetry_Int_Tables_number 1
_cell_length_a 8.371
_cell_length_b 8.371
_cell_length_c 8.371
_cell_angle_alpha 109.47
_cell_angle_beta 109.47
_cell_angle_gamma 109.47
loop_
_symmetry_equiv_pos_as_xyz
'x,y,z'
loop_
_atom_site_label
_atom_site_fract_x
_atom_site_fract_y
_atom_site_fract_z
Y1 0.712 0.000 0.712
Y2 0.288 0.000 0.288
Y3 0.000 0.288 0.288
Y4 0.000 0.712 0.712
Y5 0.288 0.288 0.000
Y6 0.712 0.712 0.000
Sn1 0.000 0.500 0.000
Sn2 0.500 0.000 0.000
Sn3 0.000 0.000 0.500
Sn4 0.500 0.500 0.500
Pd1 0.658 0.317 0.658
Pd2 0.658 0.000 0.342
Pd3 0.342 0.000 0.658
Pd4 0.342 0.683 0.342
Pd5 0.000 0.658 0.342
Pd6 0.683 0.342 0.342
Pd7 0.317 0.658 0.658
Pd8 0.000 0.342 0.658
Pd9 0.342 0.658 0.000
Pd10 0.658 0.658 0.317
Pd11 0.342 0.342 0.683
Pd12 0.658 0.342 0.000
```

Calculated values
The value obtained for the electronic total energy is -6.12 eV/atom. The calculated formation energy comes out at -843 kJ/mol of formula units. The calculation puts the density of states at the Fermi level at 0.604 states/eV per atom. The magnetic moment comes out at 0.00 μB/cell. The volume comes out at 20.5 Å³ per atom. The density comes out at 8.4 g/cm3.

Entry 3:
The following is a DFT calculation (GGA-PBE) of a relaxed Ag2Sb3 crystal.

```
data_Ag2Sb3
_symmetry_space_group_name_H-M 'P 1'
_symmetry_Int_Tables_number 1
_cell_length_a 7.667
_cell_length_b 7.667
_cell_length_c 6.767
_cell_angle_alpha 55.50
_cell_angle_beta 55.50
_cell_angle_gamma 60.00
loop_
_symmetry_equiv_pos_as_xyz
'x,y,z'
loop_
_atom_site_label
_atom_site_fract_x
_atom_site_fract_y
_atom_site_fract_z
Sb1 0.082 0.750 0.750
Sb2 0.750 0.418 0.750
Sb3 0.418 0.082 0.750
Sb4 0.250 0.582 0.250
Sb5 0.582 0.918 0.250
Sb6 0.918 0.250 0.250
Ag1 0.845 0.845 0.466
Ag2 0.345 0.345 0.966
Ag3 0.155 0.155 0.534
Ag4 0.655 0.655 0.034
```

Calculated values
The value obtained for the electronic total energy is -3.44 eV/atom. The formation energy (no corrections) is 86 kJ/mol of formula units. The calculation puts the density of states at the Fermi level at 0.473 states/eV per atom. The magnetic moment comes out at 0.00 μB/cell. The volume comes out at 26.1 Å³ per atom. The density comes out at 7.4 g/cm3.